First-principles (PBE) data for an optimized crystal structure of Ba3Au2N, as listed in Alexandria.

For the uncorrected formation energy, the calculation gives -0.525 eV/atom. The value obtained for the total energy is -3.97 eV/atom. The space-group type is No. 12. The density of states at the Fermi level is 6.722 states/eV per cell.

abc: 7.6703 7.4617 8.1350
angles: 81.45 73.19 59.07
Element x y z (fractional)
Au 0.5000 0.0000 0.5000
Ba 0.5497 0.3867 0.2158
Au 0.8782 0.2437 0.5000
Ba 0.0636 0.3867 0.7842
Ba 0.9364 0.6133 0.2158
Au 0.0000 0.0000 0.0000
Ba 0.3205 0.0000 0.1901
Au 0.1218 0.7563 0.5000
Ba 0.6795 0.0000 0.8099
N 0.6720 0.6561 0.0000
Ba 0.4503 0.6133 0.7842
N 0.3280 0.3439 0.0000



First-principles (PBE) data for an optimized crystal structure of Ba12Au6N, as listed in Alexandria.

For the uncorrected formation energy, the calculation gives -0.516 eV/atom. The value obtained for the total energy is -3.20 eV/atom. The space-group type is No. 148. The density of states at the Fermi level is 9.886 states/eV per cell.

abc: 9.4336 9.4336 9.4336
angles: 98.71 98.71 98.71
Element x y z (fractional)
Ba 0.1774 0.4259 0.5855
Au 0.6999 0.8684 0.3750
Ba 0.0699 0.9704 0.2972
Ba 0.9704 0.2972 0.0699
Au 0.3750 0.6999 0.8684
Ba 0.5741 0.4145 0.8226
Ba 0.9301 0.0296 0.7028
Ba 0.2972 0.0699 0.9704
Au 0.1316 0.6250 0.3001
Ba 0.0296 0.7028 0.9301
Au 0.3001 0.1316 0.6250
Ba 0.7028 0.9301 0.0296
Au 0.8684 0.3750 0.6999
N 0.0000 0.0000 0.0000
Au 0.6250 0.3001 0.1316
Ba 0.8226 0.5741 0.4145
Ba 0.5855 0.1774 0.4259
Ba 0.4259 0.5855 0.1774
Ba 0.4145 0.8226 0.5741



First-principles (PBE) data for an optimized crystal structure of Ba2AuN, as listed in Alexandria.

For the uncorrected formation energy, the calculation gives -0.519 eV/atom. The value obtained for the total energy is -4.38 eV/atom. The space-group type is No. 160.

abc: 4.1121 4.1121 8.3624
angles: 75.77 75.77 60.00
Element x y z (fractional)
N 0.6667 0.6667 0.9998
Ba 0.2708 0.2708 0.1877
Au 0.4999 0.4999 0.5004
Ba 0.0626 0.0626 0.8121



First-principles (PBE) data for an optimized crystal structure of BaNaAu2N, as listed in Alexandria.

For the uncorrected formation energy, the calculation gives 0.983 eV/atom. The value obtained for the total energy is -2.64 eV/atom. The space-group type is No. 123. The density of states at the Fermi level is 3.520 states/eV per cell.

abc: 4.9431 6.7168 4.9431
angles: 90.00 90.00 90.00
Site moments in Bohr magnetons follow the coordinates.
Element x y z (fractional)
Na 0.0000 0.0000 0.0000  0.00
Au 0.5000 0.0000 0.0000  0.03
Ba 0.0000 0.5000 0.0000  -0.03
Au 0.0000 0.0000 0.5000  0.02
N 0.5000 0.5000 0.5000  1.17



First-principles (PBE) data for an optimized crystal structure of Ba6NaAuN, as listed in Alexandria.

For the uncorrected formation energy, the calculation gives -0.226 eV/atom. The value obtained for the total energy is -2.94 eV/atom. The space-group type is No. 149. The density of states at the Fermi level is 9.372 states/eV per cell.

abc: 8.1120 8.1119 7.7454
angles: 90.00 90.00 60.00
Element x y z (fractional)
Ba 0.0399 0.6043 0.7148
Na 0.0000 0.0000 0.0000
Au 0.6666 0.6667 0.5000
Ba 0.3558 0.6043 0.2852
Ba 0.6042 0.3558 0.7147
Ba 0.0399 0.3558 0.2852
Ba 0.6043 0.0399 0.2852
N 0.3333 0.3333 0.5000
Ba 0.3558 0.0399 0.7148



First-principles (PBE) data for an optimized crystal structure of Ba2NiAuN, as listed in Alexandria.

For the uncorrected formation energy, the calculation gives -0.535 eV/atom. The value obtained for the total energy is -4.78 eV/atom. The space-group type is No. 123. The density of states at the Fermi level is 3.028 states/eV per cell.

abc: 5.8113 5.8113 3.6126
angles: 90.00 90.00 90.00
Element x y z (fractional)
Ba 0.0000 0.5000 0.0000
Au 0.5000 0.5000 0.5000
N 0.0000 0.0000 0.0000
Ba 0.5000 0.0000 0.0000
Ni 0.0000 0.0000 0.5000



First-principles (PBE) data for an optimized crystal structure of Ba2OsAuN, as listed in Alexandria.

For the uncorrected formation energy, the calculation gives -0.427 eV/atom. The value obtained for the total energy is -5.76 eV/atom. The space-group type is No. 123. The density of states at the Fermi level is 1.983 states/eV per cell.

abc: 5.8458 5.8458 3.8059
angles: 90.00 90.00 90.00
Element x y z (fractional)
Os 0.0000 0.0000 0.5000
N 0.0000 0.0000 0.0000
Ba 0.0000 0.5000 0.0000
Au 0.5000 0.5000 0.5000
Ba 0.5000 0.0000 0.0000



First-principles (PBE) data for an optimized crystal structure of Ba6P2AuN, as listed in Alexandria.

For the uncorrected formation energy, the calculation gives -0.688 eV/atom. The value obtained for the total energy is -4.08 eV/atom. The space-group type is No. 14. The density of states at the Fermi level is 6.872 states/eV per cell.

abc: 7.6683 8.4159 11.1071
angles: 90.00 86.64 90.00
Element x y z (fractional)
P 0.0517 0.8976 0.2625
Ba 0.2044 0.1672 0.4330
Ba 0.1566 0.4382 0.7748
P 0.4483 0.3976 0.2375
Ba 0.3481 0.7069 0.4192
Ba 0.8434 0.5618 0.2252
Ba 0.1519 0.2069 0.0808
Ba 0.7044 0.3328 0.9330
Ba 0.3434 0.9382 0.7252
Ba 0.6519 0.2931 0.5808
Ba 0.6566 0.0618 0.2748
Ba 0.7956 0.8328 0.5671
P 0.9483 0.1024 0.7375
Ba 0.2956 0.6672 0.0670
Au 0.0000 0.5000 0.5000
Ba 0.8481 0.7931 0.9192
N 0.5000 0.0000 0.5000
P 0.5517 0.6024 0.7625
N 0.0000 0.5000 0.0000
Au 0.5000 0.0000 0.0000



First-principles (PBE) data for an optimized crystal structure of Ba6Pb2AuN, as listed in Alexandria.

For the uncorrected formation energy, the calculation gives -0.490 eV/atom. The value obtained for the total energy is -3.55 eV/atom. The space-group type is No. 59. The density of states at the Fermi level is 2.518 states/eV per cell.

abc: 8.3464 8.3494 11.8071
angles: 90.00 90.00 90.00
Element x y z (fractional)
Pb 0.5000 0.7506 0.7499
Ba 0.5000 0.2482 0.2689
Ba 0.7307 0.0168 0.5000
Pb 0.0000 0.2494 0.2499
Pb 0.5000 0.7506 0.2501
N 0.5000 0.2484 0.5000
Au 0.0000 0.7481 0.5000
Ba 0.0000 0.7518 0.7689
Ba 0.0000 0.7518 0.2311
Ba 0.2307 0.9832 0.0000
Ba 0.7693 0.9832 0.0000
Ba 0.7683 0.5212 0.0000
N 0.0000 0.7516 0.0000
Ba 0.5000 0.2482 0.7311
Ba 0.2683 0.4788 0.5000
Pb 0.0000 0.2494 0.7501
Ba 0.7317 0.4788 0.5000
Ba 0.2317 0.5212 0.0000
Au 0.5000 0.2519 0.0000
Ba 0.2693 0.0168 0.5000



First-principles (PBE) data for an optimized crystal structure of Ba2PdAuN, as listed in Alexandria.

For the uncorrected formation energy, the calculation gives -0.527 eV/atom. The value obtained for the total energy is -4.66 eV/atom. The space-group type is No. 123. The density of states at the Fermi level is 3.229 states/eV per cell.

abc: 5.7543 5.7543 3.9690
angles: 90.00 90.00 90.00
Element x y z (fractional)
N 0.0000 0.0000 0.0000
Ba 0.5000 0.0000 0.0000
Pd 0.0000 0.0000 0.5000
Au 0.5000 0.5000 0.5000
Ba 0.0000 0.5000 0.0000



First-principles (PBE) data for an optimized crystal structure of Ba6PdAu2N, as listed in Alexandria.

For the uncorrected formation energy, the calculation gives -0.486 eV/atom. The value obtained for the total energy is -3.65 eV/atom. The space-group type is No. 14. The density of states at the Fermi level is 16.170 states/eV per cell.

abc: 7.7176 8.4651 11.3243
angles: 90.00 89.62 90.00
Element x y z (fractional)
N 0.5000 0.0000 0.5000
Ba 0.7032 0.3286 0.9427
Au 0.4574 0.4023 0.2491
Ba 0.7968 0.8286 0.5573
N 0.0000 0.5000 0.0000
Au 0.0426 0.9023 0.2509
Ba 0.2032 0.1714 0.4427
Ba 0.3340 0.7032 0.4390
Ba 0.2968 0.6714 0.0573
Ba 0.1660 0.2032 0.0610
Ba 0.3787 0.9653 0.7322
Ba 0.6213 0.0347 0.2678
Au 0.9574 0.0977 0.7491
Au 0.5426 0.5977 0.7509
Ba 0.6660 0.2968 0.5610
Ba 0.8787 0.5347 0.2322
Ba 0.8340 0.7968 0.9390
Ba 0.1213 0.4653 0.7678
Pd 0.0000 0.5000 0.5000
Pd 0.5000 0.0000 0.0000